(1)
KBa2BeC: relaxed, GGA-PBE.

abc: 6.438 6.438 4.737
angles: 90.00 90.00 90.00
Space group P4/mmm (No. 123)
Symmetry-distinct sites (fractional):
K 0.000 0.000 0.000 x1
Ba 0.000 0.500 0.000 x2
Be 0.000 0.000 0.500 x1
C 0.500 0.500 0.500 x1

Computed properties:
ΔH_f (0 K) ... 2.0903 eV/atom



(2)
Rb2MnAlCl6: relaxed, GGA-PBE.

abc: 10.143 10.143 10.143
angles: 90.00 90.00 90.00
Space group Fm-3m (No. 225)
Symmetry-distinct sites (fractional):
Rb 0.250 0.250 0.250 x8
Mn 0.000 0.000 0.000 x4
Al 0.000 0.000 0.500 x4
Cl 0.000 0.000 0.252 x24



| no. | total magnetic moment (μB/f.u.) | total energy (Ry per atom) |
| --- | --- | --- |
| 1 | 1.25 | -0.1094 |
| 2 | 4.24 | -0.2953 |